# ScPOs

Crystalline ScPOs at its relaxed geometry (PBE-GGA, Alexandria).

Cell lengths 5.956, 5.956, 5.956 Å; angles 90.00, 90.00, 90.00 degrees
Space group F-43m (No. 216)
One atom of each set of equivalent atoms:
Sc 0.000 0.000 0.000 (multiplicity 4)
P 0.000 0.000 0.500 (multiplicity 4)
Os 0.250 0.250 0.250 (multiplicity 4)

Calculated values
DOS(E_F)   1.01 states/eV/atom
E   -7.907 eV/atom
Formation energy   -0.250 eV/atom

# CsNdIn2Br6

Crystalline CsNdIn2Br6 at its relaxed geometry (PBE-GGA, Alexandria).

Cell lengths 8.320, 8.331, 8.739 Å; angles 90.04, 118.41, 119.95 degrees
Space group P1 (No. 1)
One atom of each set of equivalent atoms:
Cs 0.000 0.000 0.000 (multiplicity 1)
Nd 0.968 0.484 0.451 (multiplicity 1)
In 0.575 0.288 0.861 (multiplicity 1)
In 0.599 0.800 0.397 (multiplicity 1)
Br 0.081 0.436 0.189 (multiplicity 1)
Br 0.086 0.247 0.658 (multiplicity 1)
Br 0.411 0.839 0.658 (multiplicity 1)
Br 0.545 0.109 0.189 (multiplicity 1)
Br 0.753 0.644 0.189 (multiplicity 1)
Br 0.818 0.572 0.657 (multiplicity 1)

Calculated values
DOS(E_F)   0.00 states/eV/atom
E   -3.502 eV/atom
ΔE_f (raw)   -1.389 eV per atom

# RbAlCl3

Crystalline RbAlCl3 at its relaxed geometry (PBE-GGA, Alexandria).

Cell lengths 6.087, 6.087, 6.087 Å; angles 90.00, 90.00, 90.00 degrees
Space group Pm-3m (No. 221)
One atom of each set of equivalent atoms:
Rb 0.000 0.000 0.000 (multiplicity 1)
Al 0.500 0.500 0.500 (multiplicity 1)
Cl 0.000 0.000 0.500 (multiplicity 3)

Calculated values
DOS(E_F)   2.24 states/eV/atom
E   -2.397 eV/atom
ΔE_f (raw)   -0.347 eV per atom

# NaCaF3

Crystalline NaCaF3 at its relaxed geometry (PBE-GGA, Alexandria).

Cell lengths 6.0261, 6.0261, 3.0991 Å; angles 90.00, 90.00, 120.00 degrees
Space group P-6 (No. 174)
One atom of each set of equivalent atoms:
Na 0.0000 0.0000 0.0000 (multiplicity 1)
Ca 0.6667 0.3333 0.0000 (multiplicity 1)
F 0.3461 0.1752 0.5000 (multiplicity 3)

Calculated values
DOS(E_F)   0.00 states/eV/atom
ΔE to the lowest computed polymorph   0.054 eV/atom
E   -5.137 eV/atom
ΔE_f (raw)   -3.350 eV per atom

# SrFe2Hg

Crystalline SrFe2Hg at its relaxed geometry (PBE-GGA, Alexandria).

Cell lengths 3.334, 4.762, 5.937 Å; angles 90.00, 98.35, 90.00 degrees
Space group P2/m (No. 10)
One atom of each set of equivalent atoms:
Sr 0.000 0.000 0.000 (multiplicity 1)
Fe 0.288 0.500 0.645 (multiplicity 2)
Hg 0.500 0.000 0.500 (multiplicity 1)

Calculated values
DOS(E_F)   1.08 states/eV/atom
E   -4.198 eV/atom
Formation energy   0.529 eV/atom

# SrCaRu2O6

Crystalline SrCaRu2O6 at its relaxed geometry (PBE-GGA, Alexandria).

Cell lengths 7.855, 5.515, 5.627 Å; angles 90.00, 90.00, 90.00 degrees
Space group Pmc2_1 (No. 26)
One atom of each set of equivalent atoms:
Sr 0.000 0.241 0.000 (multiplicity 2)
Ca 0.500 0.262 0.903 (multiplicity 2)
Ru 0.255 0.249 0.457 (multiplicity 4)
O 0.000 0.317 0.449 (multiplicity 2)
O 0.218 0.046 0.751 (multiplicity 4)
O 0.300 0.453 0.163 (multiplicity 4)
O 0.500 0.159 0.482 (multiplicity 2)

Calculated values
DOS(E_F)   0.40 states/eV/atom
E   -6.977 eV/atom
ΔE_f (raw)   -1.779 eV per atom

# Pm2Sm3Y6Tm

Crystalline Pm2Sm3Y6Tm at its relaxed geometry (PBE-GGA, Alexandria).

Cell lengths 6.225, 10.776, 11.868 Å; angles 90.00, 100.02, 90.00 degrees
Space group C2/m (No. 12)
One atom of each set of equivalent atoms:
Pm 0.000 0.166 0.000 (multiplicity 4)
Sm 0.000 0.000 0.500 (multiplicity 2)
Sm 0.000 0.333 0.500 (multiplicity 4)
Y 0.249 0.334 0.249 (multiplicity 8)
Y 0.249 0.500 0.750 (multiplicity 4)
Tm 0.000 0.500 0.000 (multiplicity 2)

Calculated values
DOS(E_F)   1.32 states/eV/atom
E   -5.561 eV/atom
Formation energy   0.015 eV/atom

# Ce8Si3SBr4

Crystalline Ce8Si3SBr4 at its relaxed geometry (PBE-GGA, Alexandria).

Cell lengths 8.3850, 8.3850, 20.9485 Å; angles 90.00, 90.00, 120.00 degrees
Space group R-3m (No. 166, hexagonal axes)
One atom of each set of equivalent atoms:
Ce 0.0000 0.0000 0.2422 (multiplicity 6)
Ce 0.0054 0.5027 0.2407 (multiplicity 18)
Si 0.0000 0.5000 0.5000 (multiplicity 9)
S 0.0000 0.0000 0.5000 (multiplicity 3)
Br 0.0000 0.0000 0.0000 (multiplicity 3)
Br 0.0000 0.5000 0.0000 (multiplicity 9)

Calculated values
DOS(E_F)   2.87 states/eV/atom
E   -5.777 eV/atom
ΔE_f (raw)   -1.117 eV per atom

# LaGe2TeCl

Crystalline LaGe2TeCl at its relaxed geometry (PBE-GGA, Alexandria).

Cell lengths 5.324, 5.324, 6.155 Å; angles 90.00, 90.00, 90.00 degrees
Space group P4/mmm (No. 123)
One atom of each set of equivalent atoms:
La 0.000 0.000 0.000 (multiplicity 1)
Ge 0.000 0.500 0.500 (multiplicity 2)
Te 0.000 0.000 0.500 (multiplicity 1)
Cl 0.500 0.500 0.000 (multiplicity 1)

Calculated values
DOS(E_F)   1.16 states/eV/atom
E   -3.754 eV/atom
ΔE_f (raw)   0.077 eV per atom

# ZnTc2Hg

Crystalline ZnTc2Hg at its relaxed geometry (PBE-GGA, Alexandria).

Cell lengths 4.085, 4.085, 7.571 Å; angles 90.00, 90.00, 90.00 degrees
Space group I-4m2 (No. 119)
One atom of each set of equivalent atoms:
Zn 0.000 0.000 0.000 (multiplicity 2)
Tc 0.000 0.000 0.500 (multiplicity 2)
Tc 0.000 0.500 0.250 (multiplicity 2)
Hg 0.000 0.500 0.750 (multiplicity 2)

Calculated values
DOS(E_F)   0.84 states/eV/atom
ΔE to the lowest computed polymorph   0.288 eV/atom
E   -5.159 eV/atom
Formation energy   0.418 eV/atom

# MgAsRu

Crystalline MgAsRu at its relaxed geometry (PBE-GGA, Alexandria).

Cell lengths 3.1005, 3.1005, 6.2542 Å; angles 90.00, 90.00, 120.00 degrees
Space group P3m1 (No. 156)
One atom of each set of equivalent atoms:
Mg 0.0000 0.0000 0.0000 (multiplicity 1)
As 0.3333 0.6667 0.6051 (multiplicity 1)
Ru 0.6667 0.3333 0.3392 (multiplicity 1)

Calculated values
DOS(E_F)   0.23 states/eV/atom
E   -5.354 eV/atom
Formation energy   -0.181 eV/atom

# CaCuNi2B

Crystalline CaCuNi2B at its relaxed geometry (PBE-GGA, Alexandria).

Cell lengths 4.024, 4.024, 4.129 Å; angles 90.00, 90.00, 90.00 degrees
Space group P4/mmm (No. 123)
One atom of each set of equivalent atoms:
Ca 0.000 0.000 0.000 (multiplicity 1)
Cu 0.500 0.500 0.000 (multiplicity 1)
Ni 0.000 0.500 0.500 (multiplicity 2)
B 0.500 0.500 0.500 (multiplicity 1)

Calculated values
DOS(E_F)   0.73 states/eV/atom
E   -5.001 eV/atom
Formation energy   -0.133 eV/atom

# ZrTeW3

Crystalline ZrTeW3 at its relaxed geometry (PBE-GGA, Alexandria).

Cell lengths 4.859, 4.859, 4.859 Å; angles 90.00, 90.00, 90.00 degrees
Space group Pm-3m (No. 221)
One atom of each set of equivalent atoms:
Zr 0.000 0.000 0.000 (multiplicity 1)
Te 0.500 0.500 0.500 (multiplicity 1)
W 0.000 0.500 0.500 (multiplicity 3)

Calculated values
DOS(E_F)   2.20 states/eV/atom
ΔE to the lowest computed polymorph   0.000 eV/atom
E   -8.075 eV/atom
ΔE_f (raw)   2.035 eV per atom

# KAl4Cd

Crystalline KAl4Cd at its relaxed geometry (PBE-GGA, Alexandria).

Cell lengths 8.113, 8.113, 8.113 Å; angles 90.00, 90.00, 90.00 degrees
Space group F-43m (No. 216)
One atom of each set of equivalent atoms:
K 0.000 0.000 0.000 (multiplicity 4)
Al 0.126 0.126 0.626 (multiplicity 16)
Cd 0.250 0.250 0.250 (multiplicity 4)

Calculated values
DOS(E_F)   0.55 states/eV/atom
E   -2.613 eV/atom
Formation energy   0.217 eV/atom

# BeAgSe2

Crystalline BeAgSe2 at its relaxed geometry (PBE-GGA, Alexandria).

Cell lengths 3.865, 5.858, 7.799 Å; angles 90.00, 90.00, 90.00 degrees
Space group Cmm2 (No. 35)
One atom of each set of equivalent atoms:
Be 0.000 0.000 0.000 (multiplicity 2)
Ag 0.000 0.500 0.210 (multiplicity 2)
Se 0.000 0.000 0.427 (multiplicity 2)
Se 0.000 0.500 0.875 (multiplicity 2)

Calculated values
DOS(E_F)   0.32 states/eV/atom
E   -3.300 eV/atom
ΔE_f (raw)   0.086 eV per atom

# Fe6Pd2Pt5

Crystalline Fe6Pd2Pt5 at its relaxed geometry (PBE-GGA, Alexandria).

Cell lengths 9.029, 15.312, 2.739 Å; angles 90.00, 90.00, 90.00 degrees
Space group Pbam (No. 55)
One atom of each set of equivalent atoms:
Fe 0.049 0.076 0.000 (multiplicity 4)
Fe 0.070 0.364 0.000 (multiplicity 4)
Fe 0.197 0.619 0.500 (multiplicity 4)
Pd 0.173 0.778 0.000 (multiplicity 4)
Pt 0.000 0.500 0.500 (multiplicity 2)
Pt 0.084 0.221 0.500 (multiplicity 4)
Pt 0.202 0.952 0.500 (multiplicity 4)

Calculated values
DOS(E_F)   0.90 states/eV/atom
E   -7.090 eV/atom
Formation energy   -0.062 eV/atom

# Zr2InCo2

Crystalline Zr2InCo2 at its relaxed geometry (PBE-GGA, Alexandria).

Cell lengths 3.285, 3.285, 17.243 Å; angles 90.00, 90.00, 90.00 degrees
Space group I4/mmm (No. 139)
One atom of each set of equivalent atoms:
Zr 0.000 0.000 0.126 (multiplicity 4)
In 0.000 0.000 0.500 (multiplicity 2)
Co 0.000 0.500 0.250 (multiplicity 4)

Calculated values
DOS(E_F)   1.38 states/eV/atom
E   -6.863 eV/atom
Formation energy   -0.054 eV/atom

# CdBPt3

Crystalline CdBPt3 at its relaxed geometry (PBE-GGA, Alexandria).

Cell lengths 4.149, 4.149, 6.395 Å; angles 90.00, 90.00, 90.00 degrees
Space group P4mm (No. 99)
One atom of each set of equivalent atoms:
Cd 0.000 0.000 0.000 (multiplicity 1)
B 0.500 0.500 0.313 (multiplicity 1)
Pt 0.000 0.000 0.590 (multiplicity 1)
Pt 0.000 0.500 0.315 (multiplicity 2)

Calculated values
DOS(E_F)   0.69 states/eV/atom
ΔE to the lowest computed polymorph   0.625 eV/atom
E   -4.870 eV/atom
Formation energy   0.273 eV/atom

# TaB2SbO

Crystalline TaB2SbO at its relaxed geometry (PBE-GGA, Alexandria).

Cell lengths 4.133, 4.133, 5.606 Å; angles 90.00, 90.00, 90.00 degrees
Space group P4/mmm (No. 123)
One atom of each set of equivalent atoms:
Ta 0.000 0.000 0.000 (multiplicity 1)
B 0.000 0.500 0.000 (multiplicity 2)
Sb 0.000 0.000 0.500 (multiplicity 1)
O 0.500 0.500 0.500 (multiplicity 1)

Calculated values
DOS(E_F)   1.13 states/eV/atom
E   -5.344 eV/atom
ΔE_f (raw)   1.514 eV per atom

# LaTi2S

Crystalline LaTi2S at its relaxed geometry (PBE-GGA, Alexandria).

Cell lengths 4.305, 4.305, 18.429 Å; angles 90.00, 90.00, 90.00 degrees
Space group I-42d (No. 122)
One atom of each set of equivalent atoms:
La 0.000 0.000 0.000 (multiplicity 4)
Ti 0.103 0.250 0.625 (multiplicity 8)
S 0.000 0.000 0.500 (multiplicity 4)

Calculated values
DOS(E_F)   1.42 states/eV/atom
E   -6.520 eV/atom
ΔE_f (raw)   -0.309 eV per atom